[1]
First-principles (GGA-PBE) data for an optimized crystal structure of Pm3Ho4Er, as listed in the Alexandria database.

POSCAR file:
```
Pm3Ho4Er
1.0
11.3768 0.0000 0.0000
0.0000 7.2899 0.0000
0.0000 0.0000 6.2901
Pm Ho Er
6 8 2
Direct
0.0000 0.1272 0.0000 Pm
0.2501 0.1262 0.6664 Pm
0.2499 0.8738 0.1664 Pm
0.5000 0.8728 0.5000 Pm
0.7499 0.1262 0.6664 Pm
0.7501 0.8738 0.1664 Pm
0.0000 0.3770 0.4989 Ho
0.0000 0.6220 0.9996 Ho
0.2481 0.6225 0.6666 Ho
0.2519 0.3775 0.1666 Ho
0.5000 0.3780 0.4996 Ho
0.5000 0.6230 0.9989 Ho
0.7481 0.3775 0.1666 Ho
0.7519 0.6225 0.6666 Ho
0.0000 0.8711 0.5010 Er
0.5000 0.1289 0.0010 Er
```

Values from the calculation:
Space-group type: Pmn2_1
Energy of formation from the pure elements: 0.02 eV/atom

***

[2]
First-principles (GGA-PBE) data for an optimized crystal structure of Pm7Ho3Er, as listed in the Alexandria database.

POSCAR file:
```
Pm7Ho3Er
1.0
7.0647 0.0000 0.0000
0.0000 5.6286 0.0000
-3.5252 0.0000 9.3667
Pm Ho Er
7 3 1
Direct
0.0000 0.0000 0.0000 Pm
0.1452 0.5000 0.2921 Pm
0.3208 0.5000 0.6392 Pm
0.4139 0.0000 0.8289 Pm
0.5861 0.0000 0.1711 Pm
0.6792 0.5000 0.3608 Pm
0.8548 0.5000 0.7079 Pm
0.0000 0.0000 0.5000 Ho
0.2795 0.5000 0.0002 Ho
0.7205 0.5000 0.9998 Ho
0.5000 0.0000 0.5000 Er
```

Values from the calculation:
Space-group type: P2/m
Energy of formation from the pure elements: 0.12 eV/atom

***

[3]
First-principles (GGA-PBE) data for an optimized crystal structure of PmHo12Er6, as listed in the Alexandria database.

POSCAR file:
```
PmHo12Er6
1.0
5.8972 3.4048 5.0281
-5.8972 3.4048 5.0281
0.0000 -6.8095 5.0281
Pm Ho Er
1 12 6
Direct
0.0000 0.0000 0.0000 Pm
0.0093 0.2092 0.3563 Ho
0.2092 0.3563 0.0093 Ho
0.2261 0.4564 0.5648 Ho
0.3563 0.0093 0.2092 Ho
0.4352 0.7739 0.5436 Ho
0.4564 0.5648 0.2261 Ho
0.5436 0.4352 0.7739 Ho
0.5648 0.2261 0.4564 Ho
0.6437 0.9907 0.7908 Ho
0.7739 0.5436 0.4352 Ho
0.7908 0.6437 0.9907 Ho
0.9907 0.7908 0.6437 Ho
0.0926 0.6880 0.2564 Er
0.2564 0.0926 0.6880 Er
0.3120 0.7436 0.9074 Er
0.6880 0.2564 0.0926 Er
0.7436 0.9074 0.3120 Er
0.9074 0.3120 0.7436 Er
```

Values from the calculation:
Space-group type: R-3
Energy of formation from the pure elements: 0.16 eV/atom

***

[4]
First-principles (GGA-PBE) data for an optimized crystal structure of Pm3Ho4Er5, as listed in the Alexandria database.

POSCAR file:
```
Pm3Ho4Er5
1.0
6.1402 0.0000 0.0000
0.0198 7.0942 0.0000
0.0206 0.0030 8.6828
Pm Ho Er
3 4 5
Direct
0.0000 0.0000 0.0000 Pm
0.1663 0.2504 0.3336 Pm
0.8337 0.7496 0.6664 Pm
0.1683 0.7490 0.3331 Ho
0.3333 0.4997 0.6676 Ho
0.6667 0.5003 0.3324 Ho
0.8317 0.2510 0.6669 Ho
0.0000 0.5000 0.0000 Er
0.3350 0.9999 0.6675 Er
0.4990 0.7491 0.0001 Er
0.5010 0.2509 0.9999 Er
0.6650 0.0001 0.3325 Er
```

Values from the calculation:
Space-group type: P-1
Energy of formation from the pure elements: 0.02 eV/atom

***

[5]
First-principles (GGA-PBE) data for an optimized crystal structure of Pm3Ho2Er6, as listed in the Alexandria database.

POSCAR file:
```
Pm3Ho2Er6
1.0
-2.3614 2.3614 16.5485
2.3614 -2.3614 16.5485
2.3614 2.3614 -16.5485
Pm Ho Er
3 2 6
Direct
0.0000 0.0000 0.0000 Pm
0.2031 0.2031 0.0000 Pm
0.7969 0.7969 0.0000 Pm
0.4538 0.4538 0.0000 Ho
0.5462 0.5462 0.0000 Ho
0.1207 0.6207 0.5000 Er
0.3069 0.3069 0.0000 Er
0.3793 0.8793 0.5000 Er
0.6207 0.1207 0.5000 Er
0.6931 0.6931 0.0000 Er
0.8793 0.3793 0.5000 Er
```

Values from the calculation:
Space-group type: I4/mmm
Energy of formation from the pure elements: 0.28 eV/atom

***

[6]
First-principles (GGA-PBE) data for an optimized crystal structure of PmHo4Er15, as listed in the Alexandria database.

POSCAR file:
```
PmHo4Er15
1.0
4.9720 0.0000 0.0000
0.0000 4.9720 0.0000
0.0000 0.0000 24.8540
Pm Ho Er
1 4 15
Direct
0.0000 0.0000 0.0000 Pm
0.0000 0.0000 0.2009 Ho
0.0000 0.0000 0.4004 Ho
0.0000 0.0000 0.5996 Ho
0.0000 0.0000 0.7991 Ho
0.0000 0.5000 0.1014 Er
0.0000 0.5000 0.3008 Er
0.0000 0.5000 0.5000 Er
0.0000 0.5000 0.6992 Er
0.0000 0.5000 0.8986 Er
0.5000 0.0000 0.1014 Er
0.5000 0.0000 0.3008 Er
0.5000 0.0000 0.5000 Er
0.5000 0.0000 0.6992 Er
0.5000 0.0000 0.8986 Er
0.5000 0.5000 0.0000 Er
0.5000 0.5000 0.2013 Er
0.5000 0.5000 0.4003 Er
0.5000 0.5000 0.5997 Er
0.5000 0.5000 0.7987 Er
```

Values from the calculation:
Space-group type: P4/mmm
Energy of formation from the pure elements: 0.02 eV/atom

***

[7]
First-principles (GGA-PBE) data for an optimized crystal structure of PmHo3Er5, as listed in the Alexandria database.

POSCAR file:
```
PmHo3Er5
1.0
8.3564 -3.9577 0.0000
8.3564 3.9577 0.0000
-7.8995 0.0000 9.2116
Pm Ho Er
2 6 10
Direct
0.2359 0.2359 0.1302 Pm
0.7641 0.7641 0.8698 Pm
0.0000 0.0000 0.0000 Ho
0.1721 0.1721 0.3402 Ho
0.3799 0.3799 0.6851 Ho
0.5000 0.5000 0.5000 Ho
0.6201 0.6201 0.3149 Ho
0.8279 0.8279 0.6598 Ho
0.1227 0.1227 0.5660 Er
0.1413 0.7294 0.2196 Er
0.2706 0.8587 0.7804 Er
0.2990 0.2990 0.9289 Er
0.3211 0.6789 0.0000 Er
0.6789 0.3211 0.0000 Er
0.7010 0.7010 0.0711 Er
0.7294 0.1413 0.2196 Er
0.8587 0.2706 0.7804 Er
0.8773 0.8773 0.4340 Er
```

Values from the calculation:
Space-group type: C2/m
Energy of formation from the pure elements: 0.43 eV/atom

***

[8]
First-principles (GGA-PBE) data for an optimized crystal structure of Pm2Ho3Er4, as listed in the Alexandria database.

POSCAR file:
```
Pm2Ho3Er4
1.0
8.0862 -5.7694 0.0000
8.0862 5.7694 0.0000
-0.6451 0.0000 6.0720
Pm Ho Er
4 6 8
Direct
0.0219 0.7324 0.6777 Pm
0.2676 0.9781 0.8223 Pm
0.7324 0.0219 0.1777 Pm
0.9781 0.2676 0.3223 Pm
0.0971 0.9029 0.2500 Ho
0.2380 0.4326 0.4040 Ho
0.4326 0.2380 0.9040 Ho
0.5674 0.7620 0.0960 Ho
0.7620 0.5674 0.5960 Ho
0.9029 0.0971 0.7500 Ho
0.0769 0.3547 0.8485 Er
0.3129 0.5946 0.9849 Er
0.3547 0.0769 0.3485 Er
0.4054 0.6871 0.5151 Er
0.5946 0.3129 0.4849 Er
0.6453 0.9231 0.6515 Er
0.6871 0.4054 0.0151 Er
0.9231 0.6453 0.1515 Er
```

Values from the calculation:
Space-group type: C2/c
Energy of formation from the pure elements: 0.10 eV/atom

***

[9]
First-principles (GGA-PBE) data for an optimized crystal structure of PmHo2Er2, as listed in the Alexandria database.

POSCAR file:
```
PmHo2Er2
1.0
0.0000 5.8005 11.2526
2.7463 0.0000 11.2526
2.7463 5.8005 0.0000
Pm Ho Er
2 4 4
Direct
0.1250 0.1250 0.1250 Pm
0.8750 0.8750 0.8750 Pm
0.2056 0.5444 0.2056 Ho
0.4556 0.7944 0.4556 Ho
0.5444 0.2056 0.5444 Ho
0.7944 0.4556 0.7944 Ho
0.0000 0.0000 0.0000 Er
0.0000 0.0000 0.5000 Er
0.0000 0.5000 0.0000 Er
0.5000 0.0000 0.0000 Er
```

Values from the calculation:
Space-group type: Fddd
Energy of formation from the pure elements: 0.51 eV/atom

***

[10]
First-principles (GGA-PBE) data for an optimized crystal structure of Pm2Ho3Er7, as listed in the Alexandria database.

POSCAR file:
```
Pm2Ho3Er7
1.0
6.3206 0.0000 0.0000
0.0000 3.5157 0.0000
-0.0106 0.0000 17.0691
Pm Ho Er
2 3 7
Direct
0.0092 0.0000 0.1751 Pm
0.9908 0.0000 0.8249 Pm
0.0000 0.0000 0.5000 Ho
0.4988 0.5000 0.8419 Ho
0.5012 0.5000 0.1581 Ho
0.1771 0.5000 0.3367 Er
0.2560 0.0000 0.9987 Er
0.3274 0.0000 0.6657 Er
0.5000 0.5000 0.5000 Er
0.6726 0.0000 0.3343 Er
0.7440 0.0000 0.0013 Er
0.8229 0.5000 0.6633 Er
```

Values from the calculation:
Space-group type: P2/m
Energy of formation from the pure elements: 0.07 eV/atom

***

[11]
First-principles (GGA-PBE) data for an optimized crystal structure of Pm4Ho2Er3, as listed in the Alexandria database.

POSCAR file:
```
Pm4Ho2Er3
1.0
4.8788 -8.4487 0.0000
4.8788 8.4487 0.0000
0.0000 0.0000 7.0426
Pm Ho Er
8 4 6
Direct
0.0261 0.6790 0.0000 Pm
0.3192 0.3506 0.0000 Pm
0.3210 0.9739 0.5000 Pm
0.3506 0.3192 0.5000 Pm
0.6494 0.6808 0.5000 Pm
0.6790 0.0261 0.5000 Pm
0.6808 0.6494 0.0000 Pm
0.9739 0.3210 0.0000 Pm
0.0280 0.3485 0.5000 Ho
0.3485 0.0280 0.0000 Ho
0.6515 0.9720 0.0000 Ho
0.9720 0.6515 0.5000 Ho
0.0000 0.0000 0.2500 Er
0.0000 0.0000 0.7500 Er
0.3298 0.6702 0.2500 Er
0.3298 0.6702 0.7500 Er
0.6702 0.3298 0.2500 Er
0.6702 0.3298 0.7500 Er
```

Values from the calculation:
Space-group type: Cccm
Energy of formation from the pure elements: 0.05 eV/atom

***

[12]
First-principles (GGA-PBE) data for an optimized crystal structure of Pm7HoEr3, as listed in the Alexandria database.

POSCAR file:
```
Pm7HoEr3
1.0
9.5599 -3.5850 0.0000
9.5599 3.5850 0.0000
-5.5112 0.0000 11.2328
Pm Ho Er
14 2 6
Direct
0.0797 0.5857 0.9725 Pm
0.0809 0.5830 0.4708 Pm
0.2203 0.7797 0.7500 Pm
0.3356 0.3448 0.2259 Pm
0.3448 0.3356 0.7259 Pm
0.4143 0.9203 0.5275 Pm
0.4170 0.9191 0.0292 Pm
0.5830 0.0809 0.9708 Pm
0.5857 0.0797 0.4725 Pm
0.6552 0.6644 0.2741 Pm
0.6644 0.6552 0.7741 Pm
0.7797 0.2203 0.2500 Pm
0.9191 0.4170 0.5292 Pm
0.9203 0.4143 0.0275 Pm
0.0000 0.0000 0.0000 Ho
0.0000 0.0000 0.5000 Ho
0.1681 0.1717 0.2749 Er
0.1717 0.1681 0.7749 Er
0.5000 0.5000 0.0000 Er
0.5000 0.5000 0.5000 Er
0.8283 0.8319 0.2251 Er
0.8319 0.8283 0.7251 Er
```

Values from the calculation:
Space-group type: C2/c
Energy of formation from the pure elements: 0.18 eV/atom

***

| no. | density (g cm⁻³) | calculated total energy (eV per atom) |
| --- | --- | --- |
| 1 | 8.03 | -4.623 |
| 2 | 7.48 | -4.566 |
| 3 | 8.57 | -4.423 |
| 4 | 8.48 | -4.596 |
| 5 | 7.96 | -4.338 |
| 6 | 8.96 | -4.553 |
| 7 | 8.05 | -4.163 |
| 8 | 8.52 | -4.513 |
| 9 | 7.50 | -4.095 |
| 10 | 8.56 | -4.526 |
| 11 | 8.07 | -4.602 |
| 12 | 7.25 | -4.501 |